# GGA-PBE ReMo2, optimized geometry
data_ReMo2
_chemical_formula_sum 'Re1 Mo2'
_cell_length_a 4.302
_cell_length_b 4.302
_cell_length_c 3.003
_cell_angle_alpha 90.00
_cell_angle_beta 90.00
_cell_angle_gamma 90.00
_symmetry_space_group_name_H-M 'P 4/m m m'
_symmetry_Int_Tables_number 123
_symmetry_space_group_name_Hall '-P 4 2'
loop_
_atom_site_label
_atom_site_fract_x
_atom_site_fract_y
_atom_site_fract_z
Re1 0.000 0.000 0.000
Mo1 0.000 0.500 0.500
# **Crystal system**: tetragonal
# **D(E_F)**: 4.2 states/eV per cell
# **Formation energy**: 20.24 kcal/mol of atoms